A geometry-optimized K2RbTaTe4 structure. Source: OQMD via LeMat-Bulk, functional PBE.

The structure belongs to space group I-42m (No. 121); the cell edges are 8.628, 8.628 and 8.918 Å and the angles 90.00°, 90.00° and 90.00°. The distinct sites, in fractional coordinates, are K at (0.000, 0.500, 0.000), Rb at (0.000, 0.000, 0.000), Ta at (0.000, 0.000, 0.500) and Te at (0.177, 0.177, 0.329).

As for the crystal system: tetragonal. The uncorrected energy is -4.224 eV/atom.